Mg3P | PBE | relaxed

a b c (Å): 5.185 5.185 3.103
angles (deg): 90.00 90.00 110.75
Fractional coordinates of all 4 atoms:
1 Mg 0.000 0.500 0.500
2 Mg 0.500 0.000 0.500
3 Mg 0.500 0.500 0.000
4 P 0.000 0.000 0.000

Results
Crystal system: orthorhombic
Formation energy from the elements: -0.033 eV per atom